Here is Sm2Y3TmS6 after structural relaxation from Alexandria. Energies are from PBE-GGA.

Summary:
* V: 258.9 Å³/cell
* energy: -0.251 hartree per atom
* ΔE_f (raw): -1.99 eV per atom
* magnetization: 0.00 μB per formula unit
* space group: C2/m (12)

Geometry as POSCAR:
```
Sm2Y3TmS6
1.0
3.925 0.000 0.000
0.000 7.905 0.289
-1.963 -2.272 8.260
Sm Y Tm S
2 3 1 6
Direct
0.832 0.664 0.664 Sm
0.168 0.336 0.336 Sm
0.500 0.500 0.000 Y
0.831 0.167 0.661 Y
0.169 0.833 0.339 Y
0.500 0.000 0.000 Tm
0.336 0.924 0.673 S
0.664 0.588 0.328 S
0.664 0.076 0.327 S
0.997 0.243 0.995 S
0.003 0.757 0.005 S
0.336 0.412 0.672 S
```